# FeCoPdF6

An optimized crystal structure of FeCoPdF6 (GGA+U, the Alexandria database). Values from VASP.

## Properties
As for the space group: No. 163. Its volume is 240 Å³/cell. The value obtained for the total moment is 5.1 μB/f.u. The calculation puts the total energy at -4.71 eV per atom.

The structure in Quantum ESPRESSO input format:
```
&SYSTEM
  ibrav = 0, nat = 18, ntyp = 4
/
ATOMIC_SPECIES
F 19.00 F.upf
Co 58.93 Co.upf
Fe 55.84 Fe.upf
Pd 106.42 Pd.upf
CELL_PARAMETERS angstrom
-3.665 1.063 3.711
-1.243 -3.074 -4.164
2.783 -7.922 5.019
ATOMIC_POSITIONS crystal
F 0.986 0.348 0.640
F 0.348 0.362 0.360
F 0.362 0.348 0.860
F 0.652 0.014 0.860
F 0.652 0.638 0.640
F 0.638 0.986 0.360
F 0.638 0.652 0.140
F 0.014 0.362 0.140
Co 0.333 0.667 0.750
F 0.348 0.986 0.140
Fe 0.667 0.333 0.750
Fe 0.333 0.667 0.250
F 0.986 0.638 0.860
F 0.014 0.652 0.360
Pd 0.000 0.000 0.500
Co 0.667 0.333 0.250
F 0.362 0.014 0.640
Pd 0.000 0.000 0.000
```